# PBE-GGA CaLaYCd, relaxed
# ΔH_f (0 K)	-45	meV per atom
# E above lowest polymorph	0.103	eV/atom
# spin magnetization	0.00	μB/cell
data_CaLaYCd
_chemical_formula_sum 'Ca1 La1 Y1 Cd1'
_space_group_name_H-M_alt 'P 1'
_space_group_IT_number 1
_cell_length_a 5.635
_cell_length_b 5.635
_cell_length_c 5.635
_cell_angle_alpha 60.00
_cell_angle_beta 60.00
_cell_angle_gamma 60.00
loop_
_space_group_symop_operation_xyz
'x,y,z'
loop_
_atom_site_label
_atom_site_fract_x
_atom_site_fract_y
_atom_site_fract_z
Cd1 0.500 0.500 0.500
Y1 0.750 0.750 0.750
Ca1 0.000 0.000 0.000
La1 0.250 0.250 0.250

***

# PBE-GGA CaScRe2, relaxed
# ΔH_f (0 K)	125	meV per atom
# E above lowest polymorph	0.000	eV/atom
# spin magnetization	0.00	μB/cell
data_CaScRe2
_chemical_formula_sum 'Ca1 Sc1 Re2'
_space_group_name_H-M_alt 'P 1'
_space_group_IT_number 1
_cell_length_a 3.124
_cell_length_b 3.124
_cell_length_c 8.758
_cell_angle_alpha 90.00
_cell_angle_beta 90.00
_cell_angle_gamma 90.00
loop_
_space_group_symop_operation_xyz
'x,y,z'
loop_
_atom_site_label
_atom_site_fract_x
_atom_site_fract_y
_atom_site_fract_z
Re1 0.500 0.500 0.214
Re2 0.000 0.000 0.057
Ca1 0.500 0.500 0.802
Sc1 0.000 0.000 0.427

***

# PBE-GGA Ce2DyIn2Hg2, relaxed
# ΔH_f (0 K)	-222	meV per atom
# spin magnetization	2.27	μB/cell
data_Ce2DyIn2Hg2
_chemical_formula_sum 'Ce2 Dy1 In2 Hg2'
_space_group_name_H-M_alt 'P 1'
_space_group_IT_number 1
_cell_length_a 4.819
_cell_length_b 4.819
_cell_length_c 9.510
_cell_angle_alpha 75.32
_cell_angle_beta 75.32
_cell_angle_gamma 60.00
loop_
_space_group_symop_operation_xyz
'x,y,z'
loop_
_atom_site_label
_atom_site_fract_x
_atom_site_fract_y
_atom_site_fract_z
Hg1 0.579 0.579 0.264
Hg2 0.421 0.421 0.736
Ce1 0.857 0.857 0.428
Ce2 0.143 0.143 0.572
Dy1 0.000 0.000 0.000
In1 0.727 0.727 0.818
In2 0.273 0.273 0.182

***

Question: What is the formula in the first record?
Answer: CaLaYCd